(1)
# ZnSb GGA-PBE relaxed
data_ZnSb
_chemical_formula_sum 'Zn4 Sb4'
_space_group_name_H-M_alt 'P b c m'
_space_group_IT_number 57
_cell_length_a 7.1192
_cell_length_b 5.1210
_cell_length_c 5.1152
_cell_angle_alpha 90.00
_cell_angle_beta 90.00
_cell_angle_gamma 90.00
loop_
_space_group_symop_operation_xyz
'x,y,z'
'-x,-y,-z'
'-x,-y,z+1/2'
'x,y,-z+1/2'
'x,-y+1/2,-z'
'-x,y+1/2,z'
'-x,y+1/2,-z+1/2'
'x,-y+1/2,z+1/2'
loop_
_atom_site_label
_atom_site_type_symbol
_atom_site_fract_x
_atom_site_fract_y
_atom_site_fract_z
_atom_site_occupancy
Zn1 Zn 0.1013 0.0208 0.2500 1
Sb1 Sb 0.2896 0.5200 0.2500 1
# Raw total energy, eV per atom: -2.58

(2)
# UInTc GGA-PBE relaxed
data_UInTc
_chemical_formula_sum 'U4 In4 Tc4'
_space_group_name_H-M_alt 'F -4 3 m'
_space_group_IT_number 216
_space_group_name_Hall 'F -4 2 3'
_cell_length_a 6.6445
_cell_length_b 6.6445
_cell_length_c 6.6445
_cell_angle_alpha 90.00
_cell_angle_beta 90.00
_cell_angle_gamma 90.00
loop_
_atom_site_label
_atom_site_type_symbol
_atom_site_fract_x
_atom_site_fract_y
_atom_site_fract_z
_atom_site_occupancy
U1 U 0.0000 0.0000 0.0000 1
In1 In 0.2500 0.2500 0.7500 1
Tc1 Tc 0.0000 0.0000 0.5000 1
# Raw total energy, eV per atom: -7.01

(3)
# HoNiW GGA-PBE relaxed
data_HoNiW
_chemical_formula_sum 'Ho4 Ni4 W4'
_space_group_name_H-M_alt 'F -4 3 m'
_space_group_IT_number 216
_space_group_name_Hall 'F -4 2 3'
_cell_length_a 6.1405
_cell_length_b 6.1405
_cell_length_c 6.1405
_cell_angle_alpha 90.00
_cell_angle_beta 90.00
_cell_angle_gamma 90.00
loop_
_atom_site_label
_atom_site_type_symbol
_atom_site_fract_x
_atom_site_fract_y
_atom_site_fract_z
_atom_site_occupancy
Ho1 Ho 0.0000 0.0000 0.0000 1
Ni1 Ni 0.2500 0.2500 0.2500 1
W1 W 0.0000 0.0000 0.5000 1
# ΔH_f (0 K), eV/atom: 0.625
# Raw total energy, eV per atom: -7.08

(4)
# ThSi2Au4 GGA-PBE relaxed
data_ThSi2Au4
_chemical_formula_sum 'Th2 Si4 Au8'
_space_group_name_H-M_alt 'C m m m'
_space_group_IT_number 65
_space_group_name_Hall '-C 2 2'
_cell_length_a 4.3907
_cell_length_b 13.9322
_cell_length_c 4.3749
_cell_angle_alpha 90.00
_cell_angle_beta 90.00
_cell_angle_gamma 90.00
loop_
_atom_site_label
_atom_site_type_symbol
_atom_site_fract_x
_atom_site_fract_y
_atom_site_fract_z
_atom_site_occupancy
Th1 Th 0.0000 0.0000 0.0000 1
Si1 Si 0.0000 0.4159 0.5000 1
Au1 Au 0.0000 0.1731 0.5000 1
Au2 Au 0.0000 0.3255 0.0000 1
# Raw total energy, eV per atom: -4.92

(5)
# PrErMg2Au4 GGA-PBE relaxed
data_PrErMg2Au4
_chemical_formula_sum 'Pr1 Er1 Mg2 Au4'
_space_group_name_H-M_alt 'P 4/m m m'
_space_group_IT_number 123
_space_group_name_Hall '-P 4 2'
_cell_length_a 4.9495
_cell_length_b 4.9495
_cell_length_c 6.9989
_cell_angle_alpha 90.00
_cell_angle_beta 90.00
_cell_angle_gamma 90.00
loop_
_atom_site_label
_atom_site_type_symbol
_atom_site_fract_x
_atom_site_fract_y
_atom_site_fract_z
_atom_site_occupancy
Pr1 Pr 0.0000 0.0000 0.0000 1
Er1 Er 0.5000 0.5000 0.5000 1
Mg1 Mg 0.0000 0.0000 0.5000 1
Mg2 Mg 0.5000 0.5000 0.0000 1
Au1 Au 0.0000 0.5000 0.2656 1
# Raw total energy, eV per atom: -3.94

(6)
# NaPaNO GGA-PBE relaxed
data_NaPaNO
_chemical_formula_sum 'Na2 Pa2 N2 O2'
_space_group_name_H-M_alt 'P 4/n m m'
_space_group_IT_number 129
_cell_length_a 4.8501
_cell_length_b 4.8501
_cell_length_c 4.6570
_cell_angle_alpha 90.00
_cell_angle_beta 90.00
_cell_angle_gamma 90.00
loop_
_space_group_symop_operation_xyz
'x,y,z'
'-x,-y,-z'
'-y+1/2,x,z'
'y+1/2,-x,-z'
'-x+1/2,-y+1/2,z'
'x+1/2,y+1/2,-z'
'y,-x+1/2,z'
'-y,x+1/2,-z'
'x+1/2,-y,-z'
'-x+1/2,y,z'
'-y,-x,-z'
'y,x,z'
'-x,y+1/2,-z'
'x,-y+1/2,z'
'y+1/2,x+1/2,-z'
'-y+1/2,-x+1/2,z'
loop_
_atom_site_label
_atom_site_type_symbol
_atom_site_fract_x
_atom_site_fract_y
_atom_site_fract_z
_atom_site_occupancy
Na1 Na 0.2500 0.2500 0.0013 1
Pa1 Pa 0.2500 0.7500 0.5000 1
N1 N 0.2500 0.2500 0.5008 1
O1 O 0.2500 0.7500 0.0000 1
# Raw total energy, eV per atom: -7.29

(7)
# Ba2FeOsN6 GGA-PBE relaxed
data_Ba2FeOsN6
_chemical_formula_sum 'Ba2 Fe1 Os1 N6'
_space_group_name_H-M_alt 'P -1'
_space_group_IT_number 2
_cell_length_a 5.5993
_cell_length_b 5.5995
_cell_length_c 5.5996
_cell_angle_alpha 119.73
_cell_angle_beta 119.73
_cell_angle_gamma 90.46
loop_
_space_group_symop_operation_xyz
'x,y,z'
'-x,-y,-z'
loop_
_atom_site_label
_atom_site_type_symbol
_atom_site_fract_x
_atom_site_fract_y
_atom_site_fract_z
_atom_site_occupancy
Ba1 Ba 0.2500 0.2500 0.0000 1
Fe1 Fe 0.0000 0.5000 0.5000 1
Os1 Os 0.5000 0.0000 0.5000 1
N1 N 0.2447 0.7432 0.4997 1
N2 N 0.2511 0.2462 0.4989 1
N3 N 0.2532 0.7522 0.0051 1
# Raw total energy, eV per atom: -6.99

(8)
# LuNbPt2 GGA-PBE relaxed
data_LuNbPt2
_chemical_formula_sum 'Lu4 Nb4 Pt8'
_space_group_name_H-M_alt 'F -4 3 m'
_space_group_IT_number 216
_space_group_name_Hall 'F -4 2 3'
_cell_length_a 6.5328
_cell_length_b 6.5328
_cell_length_c 6.5328
_cell_angle_alpha 90.00
_cell_angle_beta 90.00
_cell_angle_gamma 90.00
loop_
_atom_site_label
_atom_site_type_symbol
_atom_site_fract_x
_atom_site_fract_y
_atom_site_fract_z
_atom_site_occupancy
Lu1 Lu 0.0000 0.0000 0.0000 1
Nb1 Nb 0.2500 0.2500 0.7500 1
Pt1 Pt 0.0000 0.0000 0.5000 1
Pt2 Pt 0.2500 0.2500 0.2500 1
# ΔH_f (0 K), eV/atom: -0.574
# Raw total energy, eV per atom: -7.26

(9)
# Gd3Sn3IrPt2 GGA-PBE relaxed
data_Gd3Sn3IrPt2
_chemical_formula_sum 'Gd3 Sn3 Ir1 Pt2'
_space_group_name_H-M_alt 'P -6 2 m'
_space_group_IT_number 189
_space_group_name_Hall 'P -6 -2'
_cell_length_a 7.5174
_cell_length_b 7.5174
_cell_length_c 4.0511
_cell_angle_alpha 90.00
_cell_angle_beta 90.00
_cell_angle_gamma 120.00
loop_
_atom_site_label
_atom_site_type_symbol
_atom_site_fract_x
_atom_site_fract_y
_atom_site_fract_z
_atom_site_occupancy
Gd1 Gd 0.0000 0.4075 0.0000 1
Sn1 Sn 0.0000 0.7471 0.5000 1
Ir1 Ir 0.0000 0.0000 0.0000 1
Pt1 Pt 0.3333 0.6667 0.5000 1
# Raw total energy, eV per atom: -6.25

(10)
# LuHfNiAs GGA-PBE relaxed
data_LuHfNiAs
_chemical_formula_sum 'Lu4 Hf4 Ni4 As4'
_space_group_name_H-M_alt 'F -4 3 m'
_space_group_IT_number 216
_space_group_name_Hall 'F -4 2 3'
_cell_length_a 6.6393
_cell_length_b 6.6393
_cell_length_c 6.6393
_cell_angle_alpha 90.00
_cell_angle_beta 90.00
_cell_angle_gamma 90.00
loop_
_atom_site_label
_atom_site_type_symbol
_atom_site_fract_x
_atom_site_fract_y
_atom_site_fract_z
_atom_site_occupancy
Lu1 Lu 0.0000 0.0000 0.0000 1
Hf1 Hf 0.2500 0.2500 0.2500 1
Ni1 Ni 0.2500 0.2500 0.7500 1
As1 As 0.0000 0.0000 0.5000 1
# Raw total energy, eV per atom: -6.05

(11)
# GdY2Cd3CuPd2 GGA-PBE relaxed
data_GdY2Cd3CuPd2
_chemical_formula_sum 'Gd2 Y4 Cd6 Cu2 Pd4'
_space_group_name_H-M_alt 'A m m 2'
_space_group_IT_number 38
_cell_length_a 3.8921
_cell_length_b 13.1217
_cell_length_c 7.5845
_cell_angle_alpha 90.00
_cell_angle_beta 90.00
_cell_angle_gamma 90.00
loop_
_space_group_symop_operation_xyz
'x,y,z'
'-x,-y,z'
'-x,y,z'
'x,-y,z'
'x,y+1/2,z+1/2'
'-x,-y+1/2,z+1/2'
'-x,y+1/2,z+1/2'
'x,-y+1/2,z+1/2'
loop_
_atom_site_label
_atom_site_type_symbol
_atom_site_fract_x
_atom_site_fract_y
_atom_site_fract_z
_atom_site_occupancy
Gd1 Gd 0.0000 0.0000 0.0000 1
Y1 Y 0.0000 0.2063 0.6197 1
Cd1 Cd 0.5000 0.0000 0.6582 1
Cd2 Cd 0.5000 0.1234 0.2906 1
Cu1 Cu 0.0000 0.0000 0.4132 1
Pd1 Pd 0.5000 0.1664 0.9132 1
# ΔH_f (0 K), eV/atom: -0.598
# Raw total energy, eV per atom: -4.41

(12)
# Ba2CuAgS2F2 GGA-PBE relaxed
data_Ba2CuAgS2F2
_chemical_formula_sum 'Ba2 Cu1 Ag1 S2 F2'
_space_group_name_H-M_alt 'P -4 m 2'
_space_group_IT_number 115
_cell_length_a 4.1744
_cell_length_b 4.1744
_cell_length_c 9.1100
_cell_angle_alpha 90.00
_cell_angle_beta 90.00
_cell_angle_gamma 90.00
loop_
_space_group_symop_operation_xyz
'x,y,z'
'y,-x,-z'
'-x,-y,z'
'-y,x,-z'
'-x,y,z'
'-y,-x,-z'
'x,-y,z'
'y,x,-z'
loop_
_atom_site_label
_atom_site_type_symbol
_atom_site_fract_x
_atom_site_fract_y
_atom_site_fract_z
_atom_site_occupancy
Ba1 Ba 0.0000 0.5000 0.1747 1
Cu1 Cu 0.0000 0.0000 0.5000 1
Ag1 Ag 0.5000 0.5000 0.5000 1
S1 S 0.0000 0.5000 0.6627 1
F1 F 0.0000 0.0000 0.0000 1
F2 F 0.5000 0.5000 0.0000 1
# Raw total energy, eV per atom: -4.79

(13)
# LiNb3Bi5 GGA-PBE relaxed
data_LiNb3Bi5
_chemical_formula_sum 'Li1 Nb3 Bi5'
_space_group_name_H-M_alt 'P 6/m m m'
_space_group_IT_number 191
_space_group_name_Hall '-P 6 2'
_cell_length_a 5.8419
_cell_length_b 5.8419
_cell_length_c 8.9052
_cell_angle_alpha 90.00
_cell_angle_beta 90.00
_cell_angle_gamma 120.00
loop_
_atom_site_label
_atom_site_type_symbol
_atom_site_fract_x
_atom_site_fract_y
_atom_site_fract_z
_atom_site_occupancy
Li1 Li 0.0000 0.0000 0.0000 1
Nb1 Nb 0.0000 0.5000 0.5000 1
Bi1 Bi 0.0000 0.0000 0.5000 1
Bi2 Bi 0.3333 0.6667 0.2149 1
# Raw total energy, eV per atom: -5.81

(14)
# HfTaNiPb GGA-PBE relaxed
data_HfTaNiPb
_chemical_formula_sum 'Hf4 Ta4 Ni4 Pb4'
_space_group_name_H-M_alt 'F -4 3 m'
_space_group_IT_number 216
_space_group_name_Hall 'F -4 2 3'
_cell_length_a 6.7282
_cell_length_b 6.7282
_cell_length_c 6.7282
_cell_angle_alpha 90.00
_cell_angle_beta 90.00
_cell_angle_gamma 90.00
loop_
_atom_site_label
_atom_site_type_symbol
_atom_site_fract_x
_atom_site_fract_y
_atom_site_fract_z
_atom_site_occupancy
Hf1 Hf 0.0000 0.0000 0.0000 1
Ta1 Ta 0.2500 0.2500 0.2500 1
Ni1 Ni 0.2500 0.2500 0.7500 1
Pb1 Pb 0.0000 0.0000 0.5000 1
# Raw total energy, eV per atom: -7.30

(15)
# Tm3Mg3AgHg2 GGA-PBE relaxed
data_Tm3Mg3AgHg2
_chemical_formula_sum 'Tm3 Mg3 Ag1 Hg2'
_space_group_name_H-M_alt 'P -6 2 m'
_space_group_IT_number 189
_space_group_name_Hall 'P -6 -2'
_cell_length_a 7.7165
_cell_length_b 7.7165
_cell_length_c 4.1055
_cell_angle_alpha 90.00
_cell_angle_beta 90.00
_cell_angle_gamma 120.00
loop_
_atom_site_label
_atom_site_type_symbol
_atom_site_fract_x
_atom_site_fract_y
_atom_site_fract_z
_atom_site_occupancy
Tm1 Tm 0.0000 0.5902 0.0000 1
Mg1 Mg 0.0000 0.2465 0.5000 1
Ag1 Ag 0.0000 0.0000 0.0000 1
Hg1 Hg 0.3333 0.6667 0.5000 1
# Raw total energy, eV per atom: -2.74

(16)
# ScTaIr2 GGA-PBE relaxed
data_ScTaIr2
_chemical_formula_sum 'Sc4 Ta4 Ir8'
_space_group_name_H-M_alt 'F -4 3 m'
_space_group_IT_number 216
_space_group_name_Hall 'F -4 2 3'
_cell_length_a 6.3856
_cell_length_b 6.3856
_cell_length_c 6.3856
_cell_angle_alpha 90.00
_cell_angle_beta 90.00
_cell_angle_gamma 90.00
loop_
_atom_site_label
_atom_site_type_symbol
_atom_site_fract_x
_atom_site_fract_y
_atom_site_fract_z
_atom_site_occupancy
Sc1 Sc 0.0000 0.0000 0.0000 1
Ta1 Ta 0.2500 0.2500 0.2500 1
Ir1 Ir 0.0000 0.0000 0.5000 1
Ir2 Ir 0.2500 0.2500 0.7500 1
# ΔH_f (0 K), eV/atom: -0.273
# Raw total energy, eV per atom: -9.25

(17)
# ZrFeMo GGA-PBE relaxed
data_ZrFeMo
_chemical_formula_sum 'Zr4 Fe4 Mo4'
_space_group_name_H-M_alt 'P n m a'
_space_group_IT_number 62
_cell_length_a 6.7925
_cell_length_b 3.9289
_cell_length_c 7.4261
_cell_angle_alpha 90.00
_cell_angle_beta 90.00
_cell_angle_gamma 90.00
loop_
_space_group_symop_operation_xyz
'x,y,z'
'-x,-y,-z'
'-x+1/2,-y,z+1/2'
'x+1/2,y,-z+1/2'
'x+1/2,-y+1/2,-z+1/2'
'-x+1/2,y+1/2,z+1/2'
'-x,y+1/2,-z'
'x,-y+1/2,z'
loop_
_atom_site_label
_atom_site_type_symbol
_atom_site_fract_x
_atom_site_fract_y
_atom_site_fract_z
_atom_site_occupancy
Zr1 Zr 0.0128 0.2500 0.1793 1
Fe1 Fe 0.2067 0.7500 0.4011 1
Mo1 Mo 0.1517 0.2500 0.5738 1
# ΔH_f (0 K), eV/atom: -0.062
# Raw total energy, eV per atom: -9.30

(18)
# YCo2Ni GGA-PBE relaxed
data_YCo2Ni
_chemical_formula_sum 'Y4 Co8 Ni4'
_space_group_name_H-M_alt 'F -4 3 m'
_space_group_IT_number 216
_space_group_name_Hall 'F -4 2 3'
_cell_length_a 6.1745
_cell_length_b 6.1745
_cell_length_c 6.1745
_cell_angle_alpha 90.00
_cell_angle_beta 90.00
_cell_angle_gamma 90.00
loop_
_atom_site_label
_atom_site_type_symbol
_atom_site_fract_x
_atom_site_fract_y
_atom_site_fract_z
_atom_site_occupancy
Y1 Y 0.0000 0.0000 0.0000 1
Co1 Co 0.0000 0.0000 0.5000 1
Co2 Co 0.2500 0.2500 0.7500 1
Ni1 Ni 0.2500 0.2500 0.2500 1
# ΔH_f (0 K), eV/atom: 0.129
# Raw total energy, eV per atom: -6.43

(19)
# TmUIr GGA-PBE relaxed
data_TmUIr
_chemical_formula_sum 'Tm4 U4 Ir4'
_space_group_name_H-M_alt 'F -4 3 m'
_space_group_IT_number 216
_space_group_name_Hall 'F -4 2 3'
_cell_length_a 6.7202
_cell_length_b 6.7202
_cell_length_c 6.7202
_cell_angle_alpha 90.00
_cell_angle_beta 90.00
_cell_angle_gamma 90.00
loop_
_atom_site_label
_atom_site_type_symbol
_atom_site_fract_x
_atom_site_fract_y
_atom_site_fract_z
_atom_site_occupancy
Tm1 Tm 0.0000 0.0000 0.0000 1
U1 U 0.0000 0.0000 0.5000 1
Ir1 Ir 0.2500 0.2500 0.7500 1
# ΔH_f (0 K), eV/atom: -0.187
# Raw total energy, eV per atom: -8.40

(20)
# HfFeGeMo GGA-PBE relaxed
data_HfFeGeMo
_chemical_formula_sum 'Hf4 Fe4 Ge4 Mo4'
_space_group_name_H-M_alt 'F -4 3 m'
_space_group_IT_number 216
_space_group_name_Hall 'F -4 2 3'
_cell_length_a 6.2518
_cell_length_b 6.2518
_cell_length_c 6.2518
_cell_angle_alpha 90.00
_cell_angle_beta 90.00
_cell_angle_gamma 90.00
loop_
_atom_site_label
_atom_site_type_symbol
_atom_site_fract_x
_atom_site_fract_y
_atom_site_fract_z
_atom_site_occupancy
Hf1 Hf 0.0000 0.0000 0.0000 1
Fe1 Fe 0.2500 0.2500 0.7500 1
Ge1 Ge 0.0000 0.0000 0.5000 1
Mo1 Mo 0.2500 0.2500 0.2500 1
# Raw total energy, eV per atom: -8.45